Compound: MgPaInSn
Source: Alexandria
Functional: PBE
Structure: relaxed

```
MgPaInSn
1.0
4.4218 0.0000 0.0000
0.0000 4.6272 0.0000
0.0000 0.0000 4.8126
Mg Pa In Sn
1 1 1 1
Direct
0.0000 0.0000 0.0000 Mg
0.0000 0.5000 0.5000 Pa
0.5000 0.5000 0.0000 In
0.5000 0.0000 0.5000 Sn
```

formation energy from the elements: -0.70 eV per formula unit
size of the total moment: 0.113 μB/atom
offset from the most stable computed form: 0.00 eV per formula unit
E: -4.633 eV/atom
SG: Pmmm



Compound: Nd3InGa2
Source: Alexandria
Functional: PBE
Structure: relaxed

```
Nd3InGa2
1.0
3.7334 0.0000 0.0000
0.0000 3.7334 0.0000
0.0000 0.0000 11.4325
Nd In Ga
3 1 2
Direct
0.0000 0.0000 0.0000 Nd
0.0000 0.0000 0.3203 Nd
0.0000 0.0000 0.6797 Nd
0.5000 0.5000 0.5000 In
0.5000 0.5000 0.1606 Ga
0.5000 0.5000 0.8394 Ga
```

formation energy from the elements: -3.19 eV per formula unit
size of the total moment: 0.000 μB/atom
offset from the most stable computed form: 0.00 eV per formula unit
E: -4.380 eV/atom
SG: P4/mmm



Compound: Rb4Pr3PaSe8
Source: Alexandria
Functional: PBE
Structure: relaxed

```
Rb4Pr3PaSe8
1.0
4.3684 2.5221 8.0441
-4.3684 2.5221 8.0441
0.0000 -5.0442 8.0441
Rb Pr Pa Se
4 3 1 8
Direct
0.0000 0.0000 0.0000 Rb
0.0000 0.5000 0.5000 Rb
0.5000 0.0000 0.5000 Rb
0.5000 0.5000 0.0000 Rb
0.0000 0.0000 0.5000 Pr
0.0000 0.5000 0.0000 Pr
0.5000 0.0000 0.0000 Pr
0.5000 0.5000 0.5000 Pa
0.2351 0.2351 0.2351 Se
0.2440 0.7287 0.7287 Se
0.2713 0.2713 0.7560 Se
0.2713 0.7560 0.2713 Se
0.7287 0.2440 0.7287 Se
0.7287 0.7287 0.2440 Se
0.7560 0.2713 0.2713 Se
0.7649 0.7649 0.7649 Se
```

size of the total moment: 0.113 μB/atom
E: -5.084 eV/atom
SG: R-3m
formation energy from raw total energies: -1611 meV per atom



Compound: SrCa2SiO
Source: Alexandria
Functional: PBE
Structure: relaxed

```
SrCa2SiO
1.0
4.7764 0.0000 0.0000
0.0000 4.7764 0.0000
0.0000 0.0000 4.9858
Sr Ca Si O
1 2 1 1
Direct
0.0000 0.0000 0.0000 Sr
0.0000 0.5000 0.5000 Ca
0.5000 0.0000 0.5000 Ca
0.5000 0.5000 0.0000 Si
0.0000 0.0000 0.5000 O
```

size of the total moment: 0.000 μB/atom
E: -4.604 eV/atom
SG: P4/mmm
formation energy from raw total energies: -1391 meV per atom



Compound: CePmPrIn
Source: Alexandria
Functional: PBE
Structure: relaxed

```
CePmPrIn
1.0
0.0000 3.9106 3.9106
3.9106 0.0000 3.9106
3.9106 3.9106 0.0000
Ce Pm Pr In
1 1 1 1
Direct
0.0000 0.0000 0.0000 Ce
0.7500 0.7500 0.7500 Pm
0.2500 0.2500 0.2500 Pr
0.5000 0.5000 0.5000 In
```

formation energy from the elements: -0.36 eV per formula unit
size of the total moment: 0.040 μB/atom
E: -4.640 eV/atom
SG: F-43m



Compound: PmCd7Cu5
Source: Alexandria
Functional: PBE
Structure: relaxed

```
PmCd7Cu5
1.0
-2.6571 4.7523 4.7676
2.6571 -4.7523 4.7676
2.6571 4.7523 -4.7676
Pm Cd Cu
1 7 5
Direct
0.0000 0.0000 0.0000 Pm
0.1930 0.4874 0.7056 Cd
0.3218 0.9776 0.3442 Cd
0.3322 0.3322 0.0000 Cd
0.6334 0.9776 0.6558 Cd
0.6503 0.6503 0.0000 Cd
0.7646 0.2646 0.5000 Cd
0.7819 0.4874 0.2944 Cd
0.2052 0.7052 0.5000 Cu
0.4715 0.4813 0.4885 Cu
0.4715 0.9831 0.9902 Cu
0.9928 0.4813 0.0098 Cu
0.9928 0.9831 0.5115 Cu
```

formation energy from the elements: -1.06 eV per formula unit
size of the total moment: 0.000 μB/atom
E: -2.515 eV/atom
SG: Imm2



Compound: Pm2ErBe3Pt4
Source: Alexandria
Functional: PBE
Structure: relaxed

```
Pm2ErBe3Pt4
1.0
4.0777 0.0000 0.0000
0.0000 4.0777 0.0000
0.0000 0.0000 10.8751
Pm Er Be Pt
2 1 3 4
Direct
0.0000 0.5000 0.2247 Pm
0.5000 0.0000 0.7753 Pm
0.0000 0.0000 0.5000 Er
0.0000 0.5000 0.8923 Be
0.5000 0.0000 0.1077 Be
0.5000 0.5000 0.5000 Be
0.0000 0.0000 0.0000 Pt
0.0000 0.5000 0.6695 Pt
0.5000 0.0000 0.3305 Pt
0.5000 0.5000 0.0000 Pt
```

formation energy from the elements: -8.56 eV per formula unit
size of the total moment: 0.000 μB/atom
E: -5.797 eV/atom
SG: P-4m2



Compound: Ba2ZrCu
Source: Alexandria
Functional: PBE
Structure: relaxed

```
Ba2ZrCu
1.0
0.0000 3.9375 3.9375
3.9375 0.0000 3.9375
3.9375 3.9375 0.0000
Ba Zr Cu
2 1 1
Direct
0.0000 0.0000 0.0000 Ba
0.2500 0.2500 0.2500 Ba
0.5000 0.5000 0.5000 Zr
0.7500 0.7500 0.7500 Cu
```

formation energy from the elements: 2.90 eV per formula unit
size of the total moment: 0.429 μB/atom
offset from the most stable computed form: 1.85 eV per formula unit
E: -3.398 eV/atom
SG: F-43m



Compound: Li2MnW
Source: Alexandria
Functional: PBE
Structure: relaxed

```
Li2MnW
1.0
-1.5106 2.2733 3.8812
1.5106 -2.2733 3.8812
1.5106 2.2733 -3.8812
Li Mn W
2 1 1
Direct
0.0000 0.0000 0.0000 Li
0.7742 0.2742 0.5000 Li
0.2589 0.7589 0.5000 Mn
0.4934 0.4934 0.0000 W
```

formation energy from the elements: 2.26 eV per formula unit
size of the total moment: 0.296 μB/atom
offset from the most stable computed form: 1.03 eV per formula unit
E: -5.923 eV/atom
SG: Imm2



Compound: ErTmZnGe
Source: Alexandria
Functional: PBE
Structure: relaxed

```
ErTmZnGe
1.0
4.0669 0.0000 0.0000
0.0000 2.0726 5.3627
0.0000 -2.0726 5.3627
Er Tm Zn Ge
1 1 1 1
Direct
0.0000 0.0000 0.0000 Er
0.5000 0.2823 0.2823 Tm
0.5000 0.5652 0.5652 Zn
0.0000 0.7197 0.7197 Ge
```

formation energy from the elements: -2.47 eV per formula unit
size of the total moment: 0.001 μB/atom
offset from the most stable computed form: 0.00 eV per formula unit
E: -4.350 eV/atom
SG: Amm2



Compound: Pr4AsIrSe2
Source: Alexandria
Functional: PBE
Structure: relaxed

```
Pr4AsIrSe2
1.0
7.4382 0.0000 0.0000
0.0000 4.2264 0.0000
-2.3992 0.0000 7.1137
Pr As Ir Se
4 1 1 2
Direct
0.2357 0.0000 0.2302 Pr
0.2460 0.5000 0.7658 Pr
0.7540 0.5000 0.2342 Pr
0.7643 0.0000 0.7698 Pr
0.5000 0.0000 0.0000 As
0.0000 0.5000 0.0000 Ir
0.0000 0.0000 0.5000 Se
0.5000 0.5000 0.5000 Se
```

size of the total moment: 0.000 μB/atom
E: -6.375 eV/atom
SG: P2/m
formation energy from raw total energies: -1426 meV per atom



Compound: Ce2CuPd9
Source: Alexandria
Functional: PBE
Structure: relaxed

```
Ce2CuPd9
1.0
4.1414 0.0000 0.0000
0.0000 4.1414 0.0000
0.0000 0.0000 11.8371
Ce Cu Pd
2 1 9
Direct
0.0000 0.0000 0.1812 Ce
0.0000 0.0000 0.8188 Ce
0.0000 0.0000 0.5000 Cu
0.0000 0.5000 0.0000 Pd
0.0000 0.5000 0.3448 Pd
0.0000 0.5000 0.6552 Pd
0.5000 0.0000 0.0000 Pd
0.5000 0.0000 0.3448 Pd
0.5000 0.0000 0.6552 Pd
0.5000 0.5000 0.1720 Pd
0.5000 0.5000 0.5000 Pd
0.5000 0.5000 0.8280 Pd
```

formation energy from the elements: -6.89 eV per formula unit
size of the total moment: 0.003 μB/atom
E: -5.799 eV/atom
SG: P4/mmm



Compound: Zr4FeRh
Source: Alexandria
Functional: PBE
Structure: relaxed

```
Zr4FeRh
1.0
-4.4008 4.4008 3.5437
4.4008 -4.4008 3.5437
4.4008 4.4008 -3.5437
Zr Fe Rh
8 2 2
Direct
0.1872 0.4943 0.6929 Zr
0.2443 0.0513 0.8071 Zr
0.2443 0.4372 0.1929 Zr
0.2653 0.0000 0.2653 Zr
0.7347 0.0000 0.7347 Zr
0.7500 0.5153 0.7653 Zr
0.7500 0.9847 0.2347 Zr
0.8013 0.4943 0.3071 Zr
0.7197 0.2197 0.5000 Fe
0.9697 0.9697 0.0000 Fe
0.2814 0.7814 0.5000 Rh
0.5314 0.5314 0.0000 Rh
```

formation energy from the elements: 0.33 eV per formula unit
size of the total moment: 0.000 μB/atom
offset from the most stable computed form: 2.45 eV per formula unit
E: -8.279 eV/atom
SG: I4_1md



Compound: Li2InCl
Source: Alexandria
Functional: PBE
Structure: relaxed

```
Li2InCl
1.0
3.5960 0.0000 0.0000
0.0000 6.8707 0.0000
-0.0023 0.0000 3.8919
Li In Cl
2 1 1
Direct
0.0000 0.0000 0.0000 Li
0.2656 0.5000 0.9841 Li
0.5048 0.0000 0.4996 In
0.7063 0.5000 0.4863 Cl
```

size of the total moment: 0.000 μB/atom
offset from the most stable computed form: 1.07 eV per formula unit
E: -2.739 eV/atom
SG: Pm
formation energy from raw total energies: -636 meV per atom



Compound: ZnCr2Cl
Source: Alexandria
Functional: PBE
Structure: relaxed

```
ZnCr2Cl
1.0
-2.2203 2.2203 8.5078
2.2203 -2.2203 8.5078
2.2203 2.2203 -8.5078
Zn Cr Cl
2 4 2
Direct
0.0000 0.0000 0.0000 Zn
0.7500 0.2500 0.5000 Zn
0.1310 0.6250 0.0060 Cr
0.3750 0.3810 0.5060 Cr
0.6190 0.1250 0.9940 Cr
0.8750 0.8690 0.4940 Cr
0.2500 0.7500 0.5000 Cl
0.5000 0.5000 0.0000 Cl
```

size of the total moment: 2.262 μB/atom
offset from the most stable computed form: 2.15 eV per formula unit
E: -4.941 eV/atom
SG: I-42d
formation energy from raw total energies: 651 meV per atom



Compound: LiCa2Cr
Source: Alexandria
Functional: PBE
Structure: relaxed

```
LiCa2Cr
1.0
5.2074 -1.7849 0.0000
5.2074 1.7849 0.0000
-1.0234 0.0000 6.4587
Li Ca Cr
1 2 1
Direct
0.0000 0.0000 0.0000 Li
0.2446 0.2446 0.7393 Ca
0.7554 0.7554 0.2607 Ca
0.5000 0.5000 0.5000 Cr
```

formation energy from the elements: 2.01 eV per formula unit
size of the total moment: 1.071 μB/atom
E: -3.383 eV/atom
SG: C2/m



Compound: Al2GaGe2
Source: Alexandria
Functional: PBE
Structure: relaxed

```
Al2GaGe2
1.0
-2.2504 2.2504 5.0453
2.2504 -2.2504 5.0453
2.2504 2.2504 -5.0453
Al Ga Ge
2 1 2
Direct
0.2500 0.7500 0.5000 Al
0.7500 0.2500 0.5000 Al
0.0000 0.0000 0.0000 Ga
0.3781 0.3781 0.0000 Ge
0.6219 0.6219 0.0000 Ge
```

formation energy from the elements: 0.61 eV per formula unit
size of the total moment: 0.000 μB/atom
offset from the most stable computed form: 0.00 eV per formula unit
E: -3.828 eV/atom
SG: I4/mmm



Compound: Nd2MgH8
Source: Alexandria
Functional: PBE
Structure: relaxed

```
Nd2MgH8
1.0
-1.9431 2.4574 5.6711
1.9431 -2.4574 5.6711
1.9431 2.4574 -5.6711
Nd Mg H
2 1 8
Direct
0.1705 0.1705 0.0000 Nd
0.8295 0.8295 0.0000 Nd
0.5000 0.5000 0.0000 Mg
0.1110 0.3643 0.7468 H
0.2530 0.0000 0.2530 H
0.2992 0.7992 0.5000 H
0.3825 0.6357 0.7468 H
0.6175 0.3643 0.2532 H
0.7008 0.2008 0.5000 H
0.7470 0.0000 0.7470 H
0.8890 0.6357 0.2532 H
```

size of the total moment: 0.000 μB/atom
E: -3.892 eV/atom
SG: Immm



Compound: In2ReCl
Source: Alexandria
Functional: PBE
Structure: relaxed

```
In2ReCl
1.0
3.2437 0.0000 0.0000
0.0000 3.2437 0.0000
0.0000 0.0000 7.9175
In Re Cl
2 1 1
Direct
0.0000 0.0000 0.2090 In
0.0000 0.0000 0.7910 In
0.5000 0.5000 0.0000 Re
0.5000 0.5000 0.5000 Cl
```

size of the total moment: 0.000 μB/atom
offset from the most stable computed form: 0.08 eV per formula unit
E: -4.651 eV/atom
SG: P4/mmm
formation energy from raw total energies: 292 meV per atom



Compound: Tb4AgHgRh2
Source: Alexandria
Functional: PBE
Structure: relaxed

```
Tb4AgHgRh2
1.0
2.5164 1.4529 8.2548
-2.5164 1.4529 8.2548
0.0000 -2.9057 8.2548
Tb Ag Hg Rh
4 1 1 2
Direct
0.1230 0.1230 0.1230 Tb
0.3736 0.3736 0.3736 Tb
0.6264 0.6264 0.6264 Tb
0.8770 0.8770 0.8770 Tb
0.0000 0.0000 0.0000 Ag
0.5000 0.5000 0.5000 Hg
0.2517 0.2517 0.2517 Rh
0.7483 0.7483 0.7483 Rh
```

formation energy from the elements: -4.67 eV per formula unit
size of the total moment: 0.000 μB/atom
E: -5.131 eV/atom
SG: R-3m